Computed, not measured: ZnAsPbF after structural relaxation at the PBE level of DFT.

Cell: 4.070 4.070 9.316 Å, 90.00 90.00 90.00°
Sites, in units of the cell vectors:
Zn1 0.250 0.750 0.000
Zn2 0.750 0.250 0.000
As1 0.250 0.250 0.171
As2 0.750 0.750 0.829
Pb1 0.250 0.250 0.664
Pb2 0.750 0.750 0.336
F1 0.250 0.750 0.500
F2 0.750 0.250 0.500

Results
E_tot: -15.22 eV/f.u.